# 1
{"formula": "RbTlClF", "functional": "PBE", "state": "relaxed", "formation_energy_uncorrected_ev_per_atom": -1.7959, "polymorph_energy_ev_per_fu": 0.00, "magmom_total_mub_per_cell": 0.000, "lattice": [[4.180, -0.009, 0.006], [-2.085, 3.634, -0.586], [-2.099, -2.362, 7.962]], "species": ["Cl", "F", "Rb", "Tl"], "frac_coords": [[0.086, 0.874, 0.108], [0.583, 0.367, 0.610], [0.055, 0.510, 0.411], [0.155, 0.279, 0.841]]}


# 2
{"formula": "ZrCdHgGe2", "functional": "PBE", "state": "relaxed", "delta_e_f_ev_per_atom": 0.882, "magmom_total_mub_per_cell": 0.000, "lattice": [[5.018, 0.000, 0.000], [0.000, 5.251, 0.000], [0.000, 0.000, 5.018]], "species": ["Zr", "Ge", "Ge", "Hg", "Cd"], "frac_coords": [[0.500, 0.500, 0.500], [0.000, 0.000, 0.500], [0.500, 0.000, 0.000], [0.000, 0.500, 0.000], [0.000, 0.000, 0.000]]}


# 3
{"formula": "LiHg2Se", "functional": "PBE", "state": "relaxed", "formation_energy_uncorrected_ev_per_atom": -0.1427, "magmom_total_mub_per_cell": 0.000, "lattice": [[-2.215, 0.103, 2.202], [1.971, -1.335, 2.025], [2.853, 7.996, 2.494]], "species": ["Hg", "Se", "Hg", "Li"], "frac_coords": [[0.000, 0.000, 0.468], [0.500, 0.500, 0.750], [0.000, 0.000, 0.032], [0.500, 0.500, 0.250]]}


# 4
{"formula": "TmZrB4", "functional": "PBE", "state": "relaxed", "delta_e_f_ev_per_atom": -0.732, "magmom_total_mub_per_cell": 0.000, "lattice": [[3.261, 0.000, -1.007], [-0.311, 3.246, -1.007], [0.107, 0.117, 6.129]], "species": ["Tm", "B", "B", "B", "Zr", "B"], "frac_coords": [[0.000, 0.000, 0.000], [0.829, 0.329, 0.657], [0.417, 0.417, 0.834], [0.671, 0.171, 0.343], [0.250, 0.750, 0.500], [0.583, 0.583, 0.166]]}


# 5
{"formula": "LaPm2UAs4", "functional": "PBE", "state": "relaxed", "delta_e_f_ev_per_atom": -1.319, "magmom_total_mub_per_cell": 2.539, "lattice": [[5.984, -0.007, 0.000], [-0.013, 5.984, 0.000], [-2.985, -2.988, 5.988]], "species": ["As", "Pm", "U", "Pm", "As", "La", "As", "As"], "frac_coords": [[0.752, 0.752, 0.505], [0.000, 0.000, 0.000], [0.750, 0.250, 0.500], [0.250, 0.750, 0.500], [0.509, 0.009, 0.017], [0.500, 0.500, 0.000], [0.991, 0.491, 0.983], [0.248, 0.248, 0.495]]}


# 6
{"formula": "HgPtS2", "functional": "PBE", "state": "relaxed", "formation_energy_uncorrected_ev_per_atom": 0.0119, "magmom_total_mub_per_cell": 0.000, "lattice": [[13.972, 0.000, -4.178], [0.000, 6.202, 0.000], [-6.230, 0.000, 5.983]], "species": ["Pt", "S", "S", "Hg", "S", "Pt", "S", "Hg", "Pt", "Pt", "S", "S", "S", "S", "Hg", "Hg"], "frac_coords": [[0.607, 0.953, 0.788], [0.314, 0.380, 0.978], [0.186, 0.880, 0.522], [0.290, 0.265, 0.340], [0.843, 0.129, 0.290], [0.893, 0.453, 0.712], [0.343, 0.371, 0.790], [0.790, 0.235, 0.840], [0.393, 0.047, 0.212], [0.107, 0.547, 0.288], [0.657, 0.629, 0.210], [0.157, 0.871, 0.710], [0.686, 0.620, 0.022], [0.814, 0.120, 0.478], [0.710, 0.735, 0.660], [0.210, 0.765, 0.160]]}


# 7
{"formula": "LiTlGaF2", "functional": "PBE", "state": "relaxed", "formation_energy_uncorrected_ev_per_atom": -1.3629, "magmom_total_mub_per_cell": 0.000, "lattice": [[-2.785, -1.339, -2.615], [3.514, -2.975, -2.218], [-0.941, -3.007, 2.542]], "species": ["F", "Ga", "Li", "F", "Tl"], "frac_coords": [[0.000, 0.000, 0.500], [0.000, 0.500, 0.000], [0.000, 0.000, 0.000], [0.500, 0.000, 0.000], [0.500, 0.500, 0.500]]}


# 8
{"formula": "Ac3PmTe4", "functional": "PBE", "state": "relaxed", "formation_energy_uncorrected_ev_per_atom": -1.4591, "magmom_total_mub_per_cell": 0.000, "lattice": [[8.098, 0.094, 0.000], [-2.736, 7.683, 0.000], [0.000, 0.000, 9.213]], "species": ["Ac", "Te", "Ac", "Te", "Te", "Pm", "Te", "Ac", "Ac", "Pm", "Te", "Te", "Ac", "Ac", "Te", "Te"], "frac_coords": [[0.250, 0.500, 0.875], [0.000, 0.761, 0.881], [0.750, 0.000, 0.373], [0.494, 0.244, 0.369], [0.500, 0.239, 0.881], [0.750, 0.000, 0.876], [0.000, 0.239, 0.119], [0.250, 0.500, 0.374], [0.750, 0.500, 0.626], [0.250, 0.000, 0.124], [0.994, 0.244, 0.631], [0.506, 0.756, 0.631], [0.750, 0.500, 0.125], [0.250, 0.000, 0.627], [0.500, 0.761, 0.119], [0.006, 0.756, 0.369]]}